# 1
Below is a relaxed structure of BeGa2Ru2, with properties calculated at the PBE-GGA level.

Cell lengths 6.0929, 6.0929, 3.8092 Å; angles 90.00, 90.00, 90.00 degrees
Sites, in units of the cell vectors:
Be 0.0000 0.0000 0.0000
Be 0.5000 0.5000 0.0000
Ga 0.1565 0.3435 0.5000
Ga 0.3435 0.8435 0.5000
Ga 0.6565 0.1565 0.5000
Ga 0.8435 0.6565 0.5000
Ru 0.1548 0.6548 0.0000
Ru 0.3452 0.1548 0.0000
Ru 0.6548 0.8452 0.0000
Ru 0.8452 0.3452 0.0000

Calculated values
The energy relative to the elements comes out at -241 meV per atom. As for the space-group type: P4/mbm, No. 127. Its final energy is -5.907 eV per atom.



# 2
Below is a relaxed structure of Na2Cd3GaSn4, with properties calculated at the PBE-GGA level.

Cell lengths 4.6847, 4.6847, 12.7248 Å; angles 90.00, 90.00, 90.00 degrees
Sites, in units of the cell vectors:
Na 0.0000 0.5000 0.2394
Na 0.5000 0.0000 0.7606
Cd 0.0000 0.0000 0.0000
Cd 0.0000 0.5000 0.6485
Cd 0.5000 0.0000 0.3515
Ga 0.5000 0.5000 0.0000
Sn 0.0000 0.0000 0.5000
Sn 0.0000 0.5000 0.8675
Sn 0.5000 0.0000 0.1325
Sn 0.5000 0.5000 0.5000

Calculated values
The energy relative to the elements comes out at -79 meV per atom. As for the space-group type: P-4m2, No. 115. Its final energy is -2.521 eV per atom.



# 3
Below is a relaxed structure of La3Pm3Y5, with properties calculated at the PBE-GGA level.

Cell lengths 9.7397, 9.7397, 5.3678 Å; angles 90.00, 90.00, 120.00 degrees
Sites, in units of the cell vectors:
La 0.0000 0.6394 0.0000
La 0.3606 0.3606 0.0000
La 0.6394 0.0000 0.0000
Pm 0.0000 0.4909 0.5000
Pm 0.4909 0.0000 0.5000
Pm 0.5091 0.5091 0.5000
Y 0.0000 0.2706 0.0000
Y 0.2706 0.0000 0.0000
Y 0.3333 0.6667 0.0000
Y 0.6667 0.3333 0.0000
Y 0.7294 0.7294 0.0000

Calculated values
The energy relative to the elements comes out at 738 meV per atom. As for the space-group type: P-62m, No. 189. Its final energy is -4.840 eV per atom.



# 4
Below is a relaxed structure of BaPr3Sm2Te6, with properties calculated at the PBE-GGA level.

Cell lengths 10.2111, 10.2111, 9.2156 Å; angles 103.30, 103.30, 25.73 degrees
Sites, in units of the cell vectors:
Ba 0.0000 0.0000 0.0000
Pr 0.0000 0.0000 0.5000
Pr 0.3391 0.3391 0.1817
Pr 0.6609 0.6609 0.8183
Sm 0.3299 0.3299 0.6588
Sm 0.6701 0.6701 0.3412
Te 0.1669 0.1669 0.5767
Te 0.1742 0.1742 0.0888
Te 0.4941 0.4941 0.7346
Te 0.5059 0.5059 0.2654
Te 0.8258 0.8258 0.9112
Te 0.8331 0.8331 0.4233

Calculated values
Its uncorrected formation energy is -33.36 kcal/mol of atoms. As for the space-group type: C2/m, No. 12. Its final energy is -5.159 eV per atom.



# 5
Below is a relaxed structure of Pm4Pr2Dy2Tm, with properties calculated at the PBE-GGA level.

Cell lengths 9.6365, 9.6365, 9.7065 Å; angles 115.07, 115.07, 21.91 degrees
Sites, in units of the cell vectors:
Pm 0.0186 0.0186 0.3333
Pm 0.3141 0.3141 0.6661
Pm 0.6859 0.6859 0.3339
Pm 0.9814 0.9814 0.6667
Pr 0.1649 0.1649 0.9977
Pr 0.8351 0.8351 0.0023
Dy 0.3528 0.3528 0.3346
Dy 0.6472 0.6472 0.6654
Tm 0.5000 0.5000 0.0000

Calculated values
The energy relative to the elements comes out at 8 meV per atom. As for the space-group type: C2/m, No. 12. Its final energy is -4.685 eV per atom.



# 6
Below is a relaxed structure of PmZn3Ru, with properties calculated at the PBE-GGA level.

Cell lengths 6.7179, 6.7179, 5.2878 Å; angles 90.00, 90.00, 129.32 degrees
Sites, in units of the cell vectors:
Pm 0.1045 0.8955 0.7500
Pm 0.8955 0.1045 0.2500
Zn 0.1188 0.4089 0.7500
Zn 0.3108 0.6892 0.2500
Zn 0.4089 0.1188 0.2500
Zn 0.5911 0.8812 0.7500
Zn 0.6892 0.3108 0.7500
Zn 0.8812 0.5911 0.2500
Ru 0.5000 0.5000 0.0000
Ru 0.5000 0.5000 0.5000

Calculated values
The energy relative to the elements comes out at -209 meV per atom. As for the space-group type: Cmcm, No. 63. Its final energy is -3.779 eV per atom.



# 7
Below is a relaxed structure of In3W, with properties calculated at the PBE-GGA level.

Cell lengths 5.8720, 5.8720, 5.8720 Å; angles 148.95, 63.61, 126.00 degrees
Sites, in units of the cell vectors:
In 0.0000 0.0000 0.0000
In 0.4086 0.6410 0.7675
In 0.8735 0.6410 0.2325
W 0.4676 0.9676 0.5000

Calculated values
The energy relative to the elements comes out at 554 meV per atom. As for the space-group type: Imm2, No. 44. Its final energy is -4.738 eV per atom.



# 8
Below is a relaxed structure of FeHgSb2Te, with properties calculated at the PBE-GGA level.

Cell lengths 4.8058, 4.8058, 5.6786 Å; angles 90.00, 90.00, 90.00 degrees
Sites, in units of the cell vectors:
Fe 0.0000 0.0000 0.0000
Hg 0.5000 0.5000 0.5000
Sb 0.0000 0.5000 0.0000
Sb 0.5000 0.0000 0.0000
Te 0.0000 0.0000 0.5000

Calculated values
Its uncorrected formation energy is 8.07 kcal/mol of atoms. As for the space-group type: P4/mmm, No. 123. Its final energy is -3.680 eV per atom.



# 9
Below is a relaxed structure of TaMoRu2, with properties calculated at the PBE-GGA level.

Cell lengths 2.7882, 4.2268, 5.4381 Å; angles 90.00, 104.41, 90.00 degrees
Sites, in units of the cell vectors:
Ta 0.0000 0.0000 0.0000
Mo 0.5000 0.0000 0.5000
Ru 0.1679 0.5000 0.7520
Ru 0.8321 0.5000 0.2480

Calculated values
The energy relative to the elements comes out at -21 meV per atom. As for the space-group type: P2/m, No. 10. Its final energy is -10.330 eV per atom.



# 10
Below is a relaxed structure of Tb3Pr6Tl, with properties calculated at the PBE-GGA level.

Cell lengths 11.5330, 11.5330, 6.5176 Å; angles 90.00, 90.00, 128.83 degrees
Sites, in units of the cell vectors:
Tb 0.0879 0.9121 0.5000
Tb 0.2031 0.4571 0.8963
Tb 0.4571 0.2031 0.3963
Tb 0.5429 0.7969 0.8963
Tb 0.7969 0.5429 0.3963
Tb 0.9121 0.0879 0.0000
Pr 0.0297 0.5963 0.7568
Pr 0.1264 0.2372 0.4733
Pr 0.2135 0.7865 0.1990
Pr 0.2372 0.1264 0.9733
Pr 0.4037 0.9703 0.7568
Pr 0.4800 0.5200 0.2274
Pr 0.5200 0.4800 0.7274
Pr 0.5963 0.0297 0.2568
Pr 0.7628 0.8736 0.4733
Pr 0.7865 0.2135 0.6990
Pr 0.8736 0.7628 0.9733
Pr 0.9703 0.4037 0.2568
Tl 0.3452 0.6548 0.4772
Tl 0.6548 0.3452 0.9772

Calculated values
The energy relative to the elements comes out at 21 meV per atom. As for the space-group type: Cmc2_1, No. 36. Its final energy is -4.472 eV per atom.



# 11
Below is a relaxed structure of Nd2SmYS4, with properties calculated at the PBE-GGA level.

Cell lengths 6.9539, 3.9738, 7.0152 Å; angles 90.00, 108.95, 90.00 degrees
Sites, in units of the cell vectors:
Nd 0.0000 0.0000 0.0000
Nd 0.5000 0.5000 0.0000
Sm 0.0000 0.5000 0.5000
Y 0.5000 0.0000 0.5000
S 0.2511 0.0000 0.7411
S 0.2582 0.5000 0.2620
S 0.7418 0.5000 0.7380
S 0.7489 0.0000 0.2589

Calculated values
Its uncorrected formation energy is -46.52 kcal/mol of atoms. As for the space-group type: P2/m, No. 10. Its final energy is -6.671 eV per atom.



# 12
Below is a relaxed structure of La2NbSbC, with properties calculated at the PBE-GGA level.

Cell lengths 5.3089, 5.3089, 4.3212 Å; angles 90.00, 90.00, 90.00 degrees
Sites, in units of the cell vectors:
La 0.0000 0.5000 0.0000
La 0.5000 0.0000 0.0000
Nb 0.0000 0.0000 0.5000
Sb 0.5000 0.5000 0.5000
C 0.0000 0.0000 0.0000

Calculated values
Its uncorrected formation energy is -8.68 kcal/mol of atoms. As for the space-group type: P4/mmm, No. 123. Its final energy is -7.030 eV per atom.



# 13
Below is a relaxed structure of Ta2SiMo, with properties calculated at the PBE-GGA level.

Cell lengths 4.5046, 4.5046, 4.5046 Å; angles 60.00, 60.00, 60.00 degrees
Sites, in units of the cell vectors:
Ta 0.0000 0.0000 0.0000
Ta 0.2500 0.2500 0.2500
Si 0.5000 0.5000 0.5000
Mo 0.7500 0.7500 0.7500

Calculated values
Its uncorrected formation energy is -0.71 kcal/mol of atoms. As for the space-group type: F-43m, No. 216. Its final energy is -10.021 eV per atom.



# 14
Below is a relaxed structure of AlSi2Se, with properties calculated at the PBE-GGA level.

Cell lengths 7.1536, 7.1536, 7.1536 Å; angles 133.05, 133.05, 68.58 degrees
Sites, in units of the cell vectors:
Al 0.0000 0.0000 0.0000
Al 0.7500 0.2500 0.5000
Si 0.1094 0.6250 0.9844
Si 0.3750 0.3594 0.4844
Si 0.6406 0.1250 0.0156
Si 0.8750 0.8906 0.5156
Se 0.2500 0.7500 0.5000
Se 0.5000 0.5000 0.0000

Calculated values
Its uncorrected formation energy is 6.60 kcal/mol of atoms. As for the space-group type: I-42d, No. 122. Its final energy is -4.232 eV per atom.



# 15
Below is a relaxed structure of PPt3O, with properties calculated at the PBE-GGA level.

Cell lengths 4.2715, 4.2715, 4.2715 Å; angles 90.00, 90.00, 90.00 degrees
Sites, in units of the cell vectors:
P 0.0000 0.0000 0.0000
Pt 0.0000 0.5000 0.5000
Pt 0.5000 0.0000 0.5000
Pt 0.5000 0.5000 0.0000
O 0.5000 0.5000 0.5000

Calculated values
Its uncorrected formation energy is 17.26 kcal/mol of atoms. As for the space-group type: Pm-3m, No. 221. Its final energy is -4.950 eV per atom.



# 16
Below is a relaxed structure of Cs3Sn2Bi3, with properties calculated at the PBE-GGA level.

Cell lengths 7.9790, 7.9790, 17.0013 Å; angles 90.00, 90.00, 137.08 degrees
Sites, in units of the cell vectors:
Cs 0.0768 0.9232 0.6116
Cs 0.0768 0.9232 0.8884
Cs 0.3709 0.6291 0.7500
Cs 0.6291 0.3709 0.2500
Cs 0.9232 0.0768 0.1116
Cs 0.9232 0.0768 0.3884
Sn 0.2011 0.7989 0.1075
Sn 0.2011 0.7989 0.3925
Sn 0.7989 0.2011 0.6075
Sn 0.7989 0.2011 0.8925
Bi 0.3260 0.6740 0.5321
Bi 0.3260 0.6740 0.9679
Bi 0.3269 0.6731 0.2500
Bi 0.6731 0.3269 0.7500
Bi 0.6740 0.3260 0.0321
Bi 0.6740 0.3260 0.4679

Calculated values
The energy relative to the elements comes out at -270 meV per atom. As for the space-group type: Cmcm, No. 63. Its final energy is -3.046 eV per atom.



# 17
Below is a relaxed structure of LaY2Er5, with properties calculated at the PBE-GGA level.

Cell lengths 7.0937, 7.0937, 7.0937 Å; angles 119.85, 119.85, 90.26 degrees
Sites, in units of the cell vectors:
La 0.0000 0.0000 0.0000
Y 0.0000 0.5000 0.5000
Y 0.5000 0.0000 0.5000
Er 0.0000 0.0000 0.5000
Er 0.0000 0.5000 0.0000
Er 0.5000 0.0000 0.0000
Er 0.5000 0.5000 0.0000
Er 0.5000 0.5000 0.5000

Calculated values
The energy relative to the elements comes out at 27 meV per atom. As for the space-group type: I4/mmm, No. 139. Its final energy is -5.057 eV per atom.



# 18
Below is a relaxed structure of ReTe2Se, with properties calculated at the PBE-GGA level.

Cell lengths 7.0586, 7.0586, 7.0586 Å; angles 153.40, 142.31, 46.73 degrees
Sites, in units of the cell vectors:
Re 0.0000 0.0000 0.0000
Te 0.1702 0.6702 0.5000
Te 0.8298 0.3298 0.5000
Se 0.5000 0.5000 0.0000

Calculated values
Its uncorrected formation energy is 9.99 kcal/mol of atoms. As for the space-group type: Immm, No. 71. Its final energy is -5.121 eV per atom.



# 19
Below is a relaxed structure of PPtSe2S, with properties calculated at the PBE-GGA level.

Cell lengths 4.7060, 4.7060, 4.5261 Å; angles 90.00, 90.00, 90.00 degrees
Sites, in units of the cell vectors:
P 0.0000 0.0000 0.0000
Pt 0.5000 0.5000 0.0000
Se 0.0000 0.5000 0.5000
Se 0.5000 0.0000 0.5000
S 0.0000 0.0000 0.5000

Calculated values
Its uncorrected formation energy is 24.53 kcal/mol of atoms. As for the space-group type: P4/mmm, No. 123. Its final energy is -3.446 eV per atom.



# 20
Below is a relaxed structure of Sm3Dy3In2, with properties calculated at the PBE-GGA level.

Cell lengths 4.8727, 4.8871, 9.8173 Å; angles 90.00, 90.00, 90.00 degrees
Sites, in units of the cell vectors:
Sm 0.0000 0.0000 0.0000
Sm 0.0000 0.0000 0.5000
Sm 0.5000 0.5000 0.0000
Dy 0.5000 0.0000 0.2511
Dy 0.5000 0.0000 0.7489
Dy 0.5000 0.5000 0.5000
In 0.0000 0.5000 0.2523
In 0.0000 0.5000 0.7477

Calculated values
The energy relative to the elements comes out at -267 meV per atom. As for the space-group type: Pmmm, No. 47. Its final energy is -4.447 eV per atom.